No. 1
## Tb3Sn4Pd2 (GGA-PBE)

Data for Tb3Sn4Pd2 after structural relaxation.

Properties
The calculation puts the magnetic moment at 0.0000 μB/atom. The calculation puts the formation enthalpy at 0 K at -0.778 eV per atom.

Cell and atoms, written as CIF:
```
data_Tb3Sn4Pd2
_cell_length_a 11.359
_cell_length_b 4.593
_cell_length_c 8.769
_cell_angle_alpha 90.00
_cell_angle_beta 107.21
_cell_angle_gamma 90.00
_space_group_name_H-M_alt 'C 1 2/m 1'
_space_group_IT_number 12
loop_
_space_group_symop_operation_xyz
'x,y,z'
'-x,-y,-z'
'-x,y,-z'
'x,-y,z'
'x+1/2,y+1/2,z'
'-x+1/2,-y+1/2,-z'
'-x+1/2,y+1/2,-z'
'x+1/2,-y+1/2,z'
loop_
_atom_site_label
_atom_site_type_symbol
_atom_site_fract_x
_atom_site_fract_y
_atom_site_fract_z
Tb1 Tb 0.000 0.000 0.000
Tb2 Tb 0.133 0.500 0.688
Sn1 Sn 0.075 0.000 0.385
Sn2 Sn 0.202 0.500 0.073
Pd1 Pd 0.197 0.500 0.379
```

=====

No. 2
## TbSn2Pd4 (GGA-PBE)

Data for TbSn2Pd4 after structural relaxation.

Properties
The calculation puts the magnetic moment at 0.0000 μB/atom. The calculation puts the formation enthalpy at 0 K at -0.621 eV per atom. Its energy above the most stable polymorph in this dataset is 0.000 eV per atom.

Cell and atoms, written as CIF:
```
data_TbSn2Pd4
_cell_length_a 8.010
_cell_length_b 8.010
_cell_length_c 4.279
_cell_angle_alpha 90.00
_cell_angle_beta 90.00
_cell_angle_gamma 90.00
_space_group_name_H-M_alt 'P 42/m n m'
_space_group_IT_number 136
_space_group_name_Hall '-P 4n 2n'
loop_
_atom_site_label
_atom_site_type_symbol
_atom_site_fract_x
_atom_site_fract_y
_atom_site_fract_z
Tb1 Tb 0.000 0.000 0.000
Sn1 Sn 0.215 0.215 0.500
Pd1 Pd 0.093 0.652 0.500
```

=====

No. 3
## Tb5Sn2Pd12 (GGA-PBE)

Data for Tb5Sn2Pd12 after structural relaxation.

Properties
The calculation puts the magnetic moment at 0.0000 μB/atom. The calculation puts the formation enthalpy at 0 K at -0.777 eV per atom.

Cell and atoms, written as CIF:
```
data_Tb5Sn2Pd12
_cell_length_a 15.069
_cell_length_b 7.265
_cell_length_c 6.806
_cell_angle_alpha 90.00
_cell_angle_beta 93.17
_cell_angle_gamma 90.00
_space_group_name_H-M_alt 'C 1 2/m 1'
_space_group_IT_number 12
loop_
_space_group_symop_operation_xyz
'x,y,z'
'-x,-y,-z'
'-x,y,-z'
'x,-y,z'
'x+1/2,y+1/2,z'
'-x+1/2,-y+1/2,-z'
'-x+1/2,y+1/2,-z'
'x+1/2,-y+1/2,z'
loop_
_atom_site_label
_atom_site_type_symbol
_atom_site_fract_x
_atom_site_fract_y
_atom_site_fract_z
Tb1 Tb 0.000 0.000 0.000
Tb2 Tb 0.190 0.500 0.549
Tb3 Tb 0.244 0.000 0.931
Sn1 Sn 0.000 0.261 0.500
Pd1 Pd 0.055 0.500 0.196
Pd2 Pd 0.107 0.301 0.857
Pd3 Pd 0.125 0.000 0.595
Pd4 Pd 0.155 0.189 0.247
```

=====

No. 4
## TbSn2Pd7 (GGA-PBE)

Data for TbSn2Pd7 after structural relaxation.

Properties
The calculation puts the magnetic moment at 0.0000 μB/atom. The calculation puts the formation enthalpy at 0 K at -0.598 eV per atom. Its energy above the most stable polymorph in this dataset is 0.000 eV per atom.

Cell and atoms, written as CIF:
```
data_TbSn2Pd7
_cell_length_a 4.116
_cell_length_b 4.116
_cell_length_c 22.343
_cell_angle_alpha 90.00
_cell_angle_beta 90.00
_cell_angle_gamma 90.00
_space_group_name_H-M_alt 'I 4/m m m'
_space_group_IT_number 139
_space_group_name_Hall '-I 4 2'
loop_
_atom_site_label
_atom_site_type_symbol
_atom_site_fract_x
_atom_site_fract_y
_atom_site_fract_z
Tb1 Tb 0.000 0.000 0.000
Sn1 Sn 0.000 0.000 0.329
Pd1 Pd 0.000 0.000 0.500
Pd2 Pd 0.000 0.500 0.093
Pd3 Pd 0.000 0.500 0.250
```

=====

No. 5
## TbSn6Pd (GGA-PBE)

Data for TbSn6Pd after structural relaxation.

Properties
The calculation puts the magnetic moment at 0.0000 μB/atom. The calculation puts the formation enthalpy at 0 K at -0.254 eV per atom.

Cell and atoms, written as CIF:
```
data_TbSn6Pd
_cell_length_a 6.321
_cell_length_b 10.914
_cell_length_c 6.575
_cell_angle_alpha 90.00
_cell_angle_beta 114.17
_cell_angle_gamma 90.00
_space_group_name_H-M_alt 'C 1 2/m 1'
_space_group_IT_number 12
loop_
_space_group_symop_operation_xyz
'x,y,z'
'-x,-y,-z'
'-x,y,-z'
'x,-y,z'
'x+1/2,y+1/2,z'
'-x+1/2,-y+1/2,-z'
'-x+1/2,y+1/2,-z'
'x+1/2,-y+1/2,z'
loop_
_atom_site_label
_atom_site_type_symbol
_atom_site_fract_x
_atom_site_fract_y
_atom_site_fract_z
Tb1 Tb 0.000 0.000 0.000
Sn1 Sn 0.046 0.500 0.265
Sn2 Sn 0.127 0.231 0.748
Pd1 Pd 0.000 0.000 0.500
```

=====

No. 6
## TbSn3Pd (GGA-PBE)

Data for TbSn3Pd after structural relaxation.

Properties
The calculation puts the magnetic moment at 0.0000 μB/atom. The calculation puts the formation enthalpy at 0 K at -0.436 eV per atom.

Cell and atoms, written as CIF:
```
data_TbSn3Pd
_cell_length_a 4.395
_cell_length_b 7.464
_cell_length_c 7.607
_cell_angle_alpha 90.00
_cell_angle_beta 90.00
_cell_angle_gamma 90.00
_space_group_name_H-M_alt 'P m m n'
_space_group_IT_number 59
loop_
_space_group_symop_operation_xyz
'x,y,z'
'-x,-y,-z'
'-x+1/2,-y+1/2,z'
'x+1/2,y+1/2,-z'
'x+1/2,-y,-z'
'-x+1/2,y,z'
'-x,y+1/2,-z'
'x,-y+1/2,z'
loop_
_atom_site_label
_atom_site_type_symbol
_atom_site_fract_x
_atom_site_fract_y
_atom_site_fract_z
Tb1 Tb 0.250 0.250 0.239
Sn1 Sn 0.250 0.040 0.822
Sn2 Sn 0.250 0.750 0.444
Pd1 Pd 0.250 0.750 0.080
```

=====

No. 7
## Tb7Sn2Pd2 (GGA-PBE)

Data for Tb7Sn2Pd2 after structural relaxation.

Properties
The calculation puts the magnetic moment at 0.0000 μB/atom. The calculation puts the formation enthalpy at 0 K at -0.432 eV per atom.

Cell and atoms, written as CIF:
```
data_Tb7Sn2Pd2
_cell_length_a 8.235
_cell_length_b 11.133
_cell_length_c 7.061
_cell_angle_alpha 90.00
_cell_angle_beta 90.00
_cell_angle_gamma 90.00
_space_group_name_H-M_alt 'C m m m'
_space_group_IT_number 65
_space_group_name_Hall '-C 2 2'
loop_
_atom_site_label
_atom_site_type_symbol
_atom_site_fract_x
_atom_site_fract_y
_atom_site_fract_z
Tb1 Tb 0.000 0.000 0.000
Tb2 Tb 0.000 0.500 0.244
Tb3 Tb 0.250 0.250 0.256
Sn1 Sn 0.179 0.000 0.500
Pd1 Pd 0.000 0.286 0.000
```

=====

No. 8
## Tb6Sn2Pd (GGA-PBE)

Data for Tb6Sn2Pd after structural relaxation.

Properties
The calculation puts the magnetic moment at 0.0155 μB/atom. The calculation puts the formation enthalpy at 0 K at -0.570 eV per atom.

Cell and atoms, written as CIF:
```
data_Tb6Sn2Pd
_cell_length_a 8.6100
_cell_length_b 8.6100
_cell_length_c 3.9120
_cell_angle_alpha 90.00
_cell_angle_beta 90.00
_cell_angle_gamma 120.00
_space_group_name_H-M_alt 'P -6 2 m'
_space_group_IT_number 189
_space_group_name_Hall 'P -6 -2'
loop_
_atom_site_label
_atom_site_type_symbol
_atom_site_fract_x
_atom_site_fract_y
_atom_site_fract_z
Tb1 Tb 0.0000 0.4016 0.0000
Tb2 Tb 0.0000 0.7518 0.5000
Sn1 Sn 0.3333 0.6667 0.5000
Pd1 Pd 0.0000 0.0000 0.0000
```